ZrGa2Ru2 | PBE | optimized geometry

Cell and atoms, written as POSCAR:
```
ZrGa2Ru2
1.0
7.2648 0.0000 0.0000
0.0000 7.2648 0.0000
0.0000 0.0000 2.9843
Zr Ga Ru
2 4 4
Direct
0.0000 0.0000 0.0000
0.5000 0.5000 0.0000
0.1260 0.3740 0.0000
0.3740 0.8740 0.0000
0.6260 0.1260 0.0000
0.8740 0.6260 0.0000
0.1717 0.6717 0.5000
0.3283 0.1717 0.5000
0.6717 0.8283 0.5000
0.8283 0.3283 0.5000
```

Calculated values
Symmetry = P4/mbm, No. 127
DFT formation energy = -422 meV/atom
DOS(E_F) = 7.80 states/eV per cell
Total magnetic moment = 0.000 μB/atom
Calculated volume = 15.8 Å³ per atom

***

GaS | PBE | optimized geometry

Cell and atoms, written as POSCAR:
```
GaS
1.0
12.3182 0.0000 0.0000
0.0000 3.6993 0.0000
0.0000 0.0000 6.9841
Ga S
6 6
Direct
0.0000 0.0340 0.0000
0.1834 0.6936 0.6264
0.3166 0.3064 0.1264
0.5000 0.9660 0.5000
0.6834 0.3064 0.1264
0.8166 0.6936 0.6264
0.0000 0.5863 0.7095
0.2462 0.8065 0.9575
0.2538 0.1935 0.4575
0.5000 0.4137 0.2095
0.7462 0.1935 0.4575
0.7538 0.8065 0.9575
```

Calculated values
Symmetry = Pmn2_1, No. 31
DOS(E_F) = 1.86 states/eV per cell
ΔE_f (raw) = -34 kJ per mole of atoms
Total magnetic moment = 0.000 μB/atom
Calculated volume = 26.5 Å³ per atom

***

GaS | PBE | optimized geometry

Cell and atoms, written as POSCAR:
```
GaS
1.0
3.6239 0.0000 0.0000
-1.8119 3.1384 0.0000
0.0000 0.0000 17.1891
Ga S
4 4
Direct
0.0000 0.0000 0.1781
0.0000 0.0000 0.3219
0.0000 0.0000 0.6781
0.0000 0.0000 0.8219
0.3333 0.6667 0.1150
0.3333 0.6667 0.3850
0.6667 0.3333 0.6150
0.6667 0.3333 0.8850
```

Calculated values
Symmetry = P6_3/mmc, No. 194
DOS(E_F) = 0.00 states/eV per cell
ΔE_f (raw) = -63 kJ per mole of atoms
Total magnetic moment = 0.000 μB/atom
Calculated volume = 24.4 Å³ per atom

***

GaS | PBE | optimized geometry

Cell and atoms, written as POSCAR:
```
GaS
1.0
1.8177 1.0495 8.6962
-1.8177 1.0495 8.6962
0.0000 -2.0989 8.6962
Ga S
2 2
Direct
0.0473 0.0473 0.0473
0.9527 0.9527 0.9527
0.2447 0.2447 0.2447
0.7553 0.7553 0.7553
```

Calculated values
Symmetry = R-3m, No. 166
DOS(E_F) = 0.00 states/eV per cell
ΔE_f (raw) = -63 kJ per mole of atoms
Total magnetic moment = 0.000 μB/atom
Calculated volume = 24.9 Å³ per atom

***

Ga2S3 | PBE | optimized geometry

Cell and atoms, written as POSCAR:
```
Ga2S3
1.0
3.5382 2.0428 3.2877
-3.5382 2.0428 3.2877
0.0000 -4.0856 3.2877
Ga S
2 3
Direct
0.0000 0.0000 0.0000
0.3102 0.3102 0.3102
0.2559 0.2559 0.7556
0.2559 0.7556 0.2559
0.7556 0.2559 0.2559
```

Calculated values
Symmetry = R3m, No. 160
DOS(E_F) = 2.47 states/eV per cell
ΔE_f (raw) = -9 kJ per mole of atoms
Total magnetic moment = 0.000 μB/atom
Calculated volume = 28.5 Å³ per atom

***

GaS5 | PBE | optimized geometry

Cell and atoms, written as POSCAR:
```
GaS5
1.0
4.2756 0.0000 0.0000
1.9565 6.2998 0.0000
0.4521 2.8695 6.4876
Ga S
1 5
Direct
0.0000 0.0000 0.0000
0.2350 0.9722 0.3107
0.3294 0.1496 0.7442
0.5012 0.2868 0.9160
0.6783 0.7205 0.3815
0.8608 0.6547 0.1339
```

Calculated values
Symmetry = P1, No. 1
DOS(E_F) = 1.45 states/eV per cell
ΔE_f (raw) = -7 kJ per mole of atoms
Total magnetic moment = 0.000 μB/atom
Calculated volume = 29.1 Å³ per atom

***

Ga2S3 | PBE | optimized geometry

Cell and atoms, written as POSCAR:
```
Ga2S3
1.0
5.7022 -3.2656 0.0000
5.7022 3.2656 0.0000
-3.6708 0.0000 6.0921
Ga S
4 6
Direct
0.0651 0.9349 0.5000
0.5614 0.7575 0.9898
0.7575 0.5614 0.4898
0.9349 0.0651 0.0000
0.1106 0.2917 0.6362
0.2917 0.1106 0.1362
0.4425 0.6184 0.6061
0.6184 0.4425 0.1061
0.7755 0.9498 0.6161
0.9498 0.7755 0.1161
```

Calculated values
Symmetry = Cc, No. 9
DOS(E_F) = 0.00 states/eV per cell
ΔE_f (raw) = -64 kJ per mole of atoms
Total magnetic moment = 0.000 μB/atom
Calculated volume = 22.7 Å³ per atom

***

Ga2S3 | PBE | optimized geometry

Cell and atoms, written as POSCAR:
```
Ga2S3
1.0
-1.8539 5.6250 2.7176
1.8539 -5.6250 2.7176
1.8539 5.6250 -2.7176
Ga S
2 3
Direct
0.1593 0.0000 0.1593
0.8407 0.0000 0.8407
0.0987 0.7647 0.3340
0.4307 0.7647 0.6660
0.7584 0.7584 0.0000
```

Calculated values
Symmetry = Imm2, No. 44
DOS(E_F) = 0.00 states/eV per cell
ΔE_f (raw) = -64 kJ per mole of atoms
Total magnetic moment = 0.000 μB/atom
Calculated volume = 22.7 Å³ per atom